No. 1
Density functional theory data (PBE-GGA) for a relaxed structure of Tl12AgHg7.

Output
Polymorph energy (0 for the lowest one): 0 meV/atom
Crystal system: trigonal
Energy of formation: 0.029 eV per atom
DOS(E_F): 16.481 states/eV per cell

Lattice parameters (Å, degrees): 11.8296 11.8296 14.4753 90.00 90.00 120.00
Space group R-3 (No. 148, hexagonal axes)
Symmetry-distinct sites (fractional):
Tl (0.0203, 0.4437, 0.2085) [18 per cell]
Tl (0.0398, 0.1827, 0.3029) [18 per cell]
Ag (0.0000, 0.0000, 0.0000) [3 per cell]
Hg (0.0000, 0.0000, 0.5000) [3 per cell]
Hg (0.0738, 0.8264, 0.9135) [18 per cell]

=====

No. 2
Density functional theory data (PBE-GGA) for a relaxed structure of Cr11NiS16.

Output
Polymorph energy (0 for the lowest one): 0 meV/atom
Crystal system: monoclinic
ΔE_f (raw): -671 meV/atom
DOS(E_F): 18.274 states/eV per cell

Lattice parameters (Å, degrees): 12.380 3.402 21.056 90.00 95.91 90.00
Space group C2/m (No. 12)
Symmetry-distinct sites (fractional):
Cr (0.000, 0.000, 0.000) [2 per cell]
Cr (0.061, 0.000, 0.330) [4 per cell]
Cr (0.062, 0.500, 0.824) [4 per cell]
Cr (0.183, 0.000, 0.926) [4 per cell]
Cr (0.184, 0.500, 0.429) [4 per cell]
Cr (0.249, 0.000, 0.252) [4 per cell]
Ni (0.000, 0.500, 0.500) [2 per cell]
S (0.000, 0.000, 0.114) [4 per cell]
S (0.001, 0.500, 0.610) [4 per cell]
S (0.107, 0.500, 0.248) [4 per cell]
S (0.109, 0.000, 0.744) [4 per cell]
S (0.143, 0.000, 0.504) [4 per cell]
S (0.144, 0.500, 0.004) [4 per cell]
S (0.244, 0.000, 0.364) [4 per cell]
S (0.244, 0.500, 0.863) [4 per cell]

=====

No. 3
Density functional theory data (PBE-GGA) for a relaxed structure of KCuPd2Cl8.

Output
Crystal system: triclinic
ΔE_f (raw): -636 meV/atom
DOS(E_F): 6.577 states/eV per cell

Lattice parameters (Å, degrees): 6.248 6.331 9.238 80.48 80.00 74.91
Space group P-1 (No. 2)
Symmetry-distinct sites (fractional):
K (0.000, 0.000, 0.000) [1 per cell]
Cu (0.000, 0.000, 0.500) [1 per cell]
Pd (0.488, 0.486, 0.680) [2 per cell]
Cl (0.214, 0.820, 0.686) [2 per cell]
Cl (0.237, 0.848, 0.304) [2 per cell]
Cl (0.282, 0.348, 0.503) [2 per cell]
Cl (0.300, 0.352, 0.903) [2 per cell]

=====

No. 4
Density functional theory data (PBE-GGA) for a relaxed structure of BaSiSe.

Output
Polymorph energy (0 for the lowest one): 368 meV/atom
Crystal system: cubic
ΔE_f (raw): -241 meV/atom
DOS(E_F): 9.446 states/eV per cell

Lattice parameters (Å, degrees): 7.318 7.318 7.318 90.00 90.00 90.00
Space group F-43m (No. 216)
Symmetry-distinct sites (fractional):
Ba (0.000, 0.000, 0.000) [4 per cell]
Si (0.000, 0.000, 0.500) [4 per cell]
Se (0.250, 0.250, 0.750) [4 per cell]

=====

No. 5
Density functional theory data (PBE-GGA) for a relaxed structure of RbInBi2Pb.

Output
Crystal system: tetragonal
Energy of formation: -0.186 eV per atom
DOS(E_F): 3.355 states/eV per cell

Lattice parameters (Å, degrees): 5.252 5.252 14.205 90.00 90.00 90.00
Space group I-4m2 (No. 119)
Symmetry-distinct sites (fractional):
Rb (0.000, 0.000, 0.000) [2 per cell]
In (0.000, 0.500, 0.750) [2 per cell]
Bi (0.000, 0.000, 0.385) [4 per cell]
Pb (0.000, 0.500, 0.250) [2 per cell]

=====

No. 6
Density functional theory data (PBE-GGA) for a relaxed structure of PmSnBiRh.

Output
Crystal system: cubic
Energy of formation: -0.275 eV per atom
DOS(E_F): 12.539 states/eV per cell

Lattice parameters (Å, degrees): 7.328 7.328 7.328 90.00 90.00 90.00
Space group F-43m (No. 216)
Symmetry-distinct sites (fractional):
Pm (0.000, 0.000, 0.000) [4 per cell]
Sn (0.250, 0.250, 0.750) [4 per cell]
Bi (0.000, 0.000, 0.500) [4 per cell]
Rh (0.250, 0.250, 0.250) [4 per cell]

=====

No. 7
Density functional theory data (PBE-GGA) for a relaxed structure of Sm2HoEr3Te6.

Output
Crystal system: monoclinic
ΔE_f (raw): -1276 meV/atom
DOS(E_F): 12.849 states/eV per cell

Lattice parameters (Å, degrees): 19.100 4.330 8.795 90.00 104.12 90.00
Space group C2/m (No. 12)
Symmetry-distinct sites (fractional):
Sm (0.170, 0.000, 0.338) [4 per cell]
Ho (0.000, 0.500, 0.000) [2 per cell]
Er (0.000, 0.500, 0.500) [2 per cell]
Er (0.171, 0.000, 0.835) [4 per cell]
Te (0.003, 0.000, 0.751) [4 per cell]
Te (0.163, 0.500, 0.590) [4 per cell]
Te (0.165, 0.500, 0.076) [4 per cell]

=====

No. 8
Density functional theory data (PBE-GGA) for a relaxed structure of RbSr2NbS.

Output
Crystal system: tetragonal
ΔE_f (raw): -20 meV/atom
DOS(E_F): 5.329 states/eV per cell

Lattice parameters (Å, degrees): 6.161 6.161 4.835 90.00 90.00 90.00
Space group P4/mmm (No. 123)
Symmetry-distinct sites (fractional):
Rb (0.000, 0.000, 0.000) [1 per cell]
Sr (0.000, 0.500, 0.500) [2 per cell]
Nb (0.500, 0.500, 0.000) [1 per cell]
S (0.500, 0.500, 0.500) [1 per cell]

=====

No. 9
Density functional theory data (PBE-GGA) for a relaxed structure of ErZrScNb.

Output
Crystal system: cubic
Energy of formation: 0.188 eV per atom
DOS(E_F): 20.996 states/eV per cell

Lattice parameters (Å, degrees): 7.149 7.149 7.149 90.00 90.00 90.00
Space group F-43m (No. 216)
Symmetry-distinct sites (fractional):
Er (0.000, 0.000, 0.000) [4 per cell]
Zr (0.000, 0.000, 0.500) [4 per cell]
Sc (0.250, 0.250, 0.750) [4 per cell]
Nb (0.250, 0.250, 0.250) [4 per cell]

=====

No. 10
Density functional theory data (PBE-GGA) for a relaxed structure of Cs2Na4Ge.

Output
Crystal system: tetragonal
Energy of formation: 0.028 eV per atom
DOS(E_F): 5.476 states/eV per cell

Lattice parameters (Å, degrees): 5.951 5.951 20.444 90.00 90.00 90.00
Space group I4/mmm (No. 139)
Symmetry-distinct sites (fractional):
Cs (0.000, 0.000, 0.146) [4 per cell]
Na (0.000, 0.000, 0.360) [4 per cell]
Na (0.000, 0.500, 0.000) [4 per cell]
Ge (0.000, 0.000, 0.500) [2 per cell]

=====

No. 11
Density functional theory data (PBE-GGA) for a relaxed structure of Mo2PBr.

Output
Polymorph energy (0 for the lowest one): 0 meV/atom
Crystal system: tetragonal
ΔE_f (raw): 42 meV/atom
DOS(E_F): 2.585 states/eV per cell

Lattice parameters (Å, degrees): 3.128 3.128 7.762 90.00 90.00 90.00
Space group P4mm (No. 99)
Symmetry-distinct sites (fractional):
Mo (0.000, 0.000, 0.000) [1 per cell]
Mo (0.500, 0.500, 0.232) [1 per cell]
P (0.000, 0.000, 0.362) [1 per cell]
Br (0.500, 0.500, 0.778) [1 per cell]

=====

No. 12
Density functional theory data (PBE-GGA) for a relaxed structure of Li3NbCl.

Output
Polymorph energy (0 for the lowest one): 0 meV/atom
Crystal system: cubic
ΔE_f (raw): 189 meV/atom
DOS(E_F): 0.515 states/eV per cell

Lattice parameters (Å, degrees): 4.702 4.702 4.702 90.00 90.00 90.00
Space group Pm-3m (No. 221)
Symmetry-distinct sites (fractional):
Li (0.000, 0.000, 0.500) [3 per cell]
Nb (0.500, 0.500, 0.500) [1 per cell]
Cl (0.000, 0.000, 0.000) [1 per cell]

=====

No. 13
Density functional theory data (PBE-GGA) for a relaxed structure of Sc4Al2Tc.

Output
Crystal system: tetragonal
Energy of formation: -0.210 eV per atom
DOS(E_F): 10.179 states/eV per cell

Lattice parameters (Å, degrees): 6.575 6.575 6.732 90.00 90.00 90.00
Space group I4/mmm (No. 139)
Symmetry-distinct sites (fractional):
Sc (0.250, 0.250, 0.250) [8 per cell]
Al (0.000, 0.500, 0.000) [4 per cell]
Tc (0.000, 0.000, 0.000) [2 per cell]

=====

No. 14
Density functional theory data (PBE-GGA) for a relaxed structure of BiAuS2.

Output
Crystal system: monoclinic
ΔE_f (raw): -225 meV/atom
DOS(E_F): 0.000 states/eV per cell

Lattice parameters (Å, degrees): 7.450 4.277 7.823 90.00 108.67 90.00
Space group P2_1/m (No. 11)
Symmetry-distinct sites (fractional):
Bi (0.248, 0.250, 0.005) [2 per cell]
Au (0.227, 0.750, 0.503) [2 per cell]
S (0.135, 0.750, 0.194) [2 per cell]
S (0.342, 0.750, 0.813) [2 per cell]

=====

No. 15
Density functional theory data (PBE-GGA) for a relaxed structure of YMgZr2.

Output
Crystal system: tetragonal
Energy of formation: 0.104 eV per atom
DOS(E_F): 4.593 states/eV per cell

Lattice parameters (Å, degrees): 3.260 3.260 9.255 90.00 90.00 90.00
Space group P4/mmm (No. 123)
Symmetry-distinct sites (fractional):
Y (0.000, 0.000, 0.000) [1 per cell]
Mg (0.000, 0.000, 0.500) [1 per cell]
Zr (0.500, 0.500, 0.261) [2 per cell]

=====

No. 16
Density functional theory data (PBE-GGA) for a relaxed structure of HgP.

Output
Polymorph energy (0 for the lowest one): 3 meV/atom
Crystal system: triclinic
Energy of formation: 0.032 eV per atom
DOS(E_F): 0.123 states/eV per cell

Lattice parameters (Å, degrees): 3.303 3.303 10.705 97.40 91.08 119.89
Space group P1 (No. 1)
Symmetry-distinct sites (fractional):
Hg (0.000, 0.000, 0.000) [1 per cell]
Hg (0.246, 0.437, 0.701) [1 per cell]
P (0.467, 0.925, 0.409) [1 per cell]
P (0.759, 0.522, 0.292) [1 per cell]

=====

No. 17
Density functional theory data (PBE-GGA) for a relaxed structure of YZrTc.

Output
Polymorph energy (0 for the lowest one): 0 meV/atom
Crystal system: tetragonal
Energy of formation: -0.125 eV per atom
DOS(E_F): 3.316 states/eV per cell

Lattice parameters (Å, degrees): 3.397 3.397 11.805 90.00 90.00 90.00
Space group I4mm (No. 107)
Symmetry-distinct sites (fractional):
Y (0.000, 0.000, 0.000) [2 per cell]
Zr (0.000, 0.000, 0.272) [2 per cell]
Tc (0.000, 0.000, 0.656) [2 per cell]

=====

No. 18
Density functional theory data (PBE-GGA) for a relaxed structure of BaPrEuMg.

Output
Crystal system: cubic
Energy of formation: 0.111 eV per atom
DOS(E_F): 19.367 states/eV per cell

Lattice parameters (Å, degrees): 8.533 8.533 8.533 90.00 90.00 90.00
Space group F-43m (No. 216)
Symmetry-distinct sites (fractional):
Ba (0.000, 0.000, 0.000) [4 per cell]
Pr (0.000, 0.000, 0.500) [4 per cell]
Eu (0.250, 0.250, 0.250) [4 per cell]
Mg (0.250, 0.250, 0.750) [4 per cell]

=====

No. 19
Density functional theory data (PBE-GGA) for a relaxed structure of CsTlWS4.

Output
Crystal system: monoclinic
ΔE_f (raw): -786 meV/atom
DOS(E_F): 0.000 states/eV per cell

Lattice parameters (Å, degrees): 7.504 7.203 9.426 90.00 107.30 90.00
Space group P2_1/m (No. 11)
Symmetry-distinct sites (fractional):
Cs (0.211, 0.250, 0.430) [2 per cell]
Tl (0.243, 0.250, 0.946) [2 per cell]
W (0.298, 0.750, 0.192) [2 per cell]
S (0.114, 0.750, 0.339) [2 per cell]
S (0.121, 0.750, 0.959) [2 per cell]
S (0.479, 0.503, 0.235) [4 per cell]

=====

No. 20
Density functional theory data (PBE-GGA) for a relaxed structure of Ta2AuSe.

Output
Crystal system: orthorhombic
ΔE_f (raw): 132 meV/atom
DOS(E_F): 5.323 states/eV per cell

Lattice parameters (Å, degrees): 3.353 4.813 8.863 90.00 90.00 90.00
Space group Immm (No. 71)
Symmetry-distinct sites (fractional):
Ta (0.000, 0.000, 0.231) [4 per cell]
Au (0.000, 0.500, 0.000) [2 per cell]
Se (0.000, 0.500, 0.500) [2 per cell]

=====

No. 21
Density functional theory data (PBE-GGA) for a relaxed structure of Mg2Ga4Hg.

Output
Crystal system: tetragonal
Energy of formation: 0.061 eV per atom
DOS(E_F): 2.896 states/eV per cell

Lattice parameters (Å, degrees): 5.458 5.458 10.441 90.00 90.00 90.00
Space group I4/mmm (No. 139)
Symmetry-distinct sites (fractional):
Mg (0.000, 0.000, 0.152) [4 per cell]
Ga (0.000, 0.500, 0.000) [4 per cell]
Ga (0.000, 0.500, 0.250) [4 per cell]
Hg (0.000, 0.000, 0.500) [2 per cell]

=====

No. 22
Density functional theory data (PBE-GGA) for a relaxed structure of DySi3Ir.

Output
Crystal system: monoclinic
ΔE_f (raw): -616 meV/atom
DOS(E_F): 3.711 states/eV per cell

Lattice parameters (Å, degrees): 5.616 5.588 5.825 90.00 103.53 90.00
Space group P2_1/m (No. 11)
Symmetry-distinct sites (fractional):
Dy (0.097, 0.250, 0.319) [2 per cell]
Si (0.032, 0.250, 0.817) [2 per cell]
Si (0.404, 0.024, 0.794) [4 per cell]
Ir (0.366, 0.750, 0.465) [2 per cell]

=====

No. 23
Density functional theory data (PBE-GGA) for a relaxed structure of ScTePO2.

Output
Polymorph energy (0 for the lowest one): 276 meV/atom
Crystal system: tetragonal
ΔE_f (raw): -692 meV/atom
DOS(E_F): 1.483 states/eV per cell

Lattice parameters (Å, degrees): 4.047 4.047 5.337 90.00 90.00 90.00
Space group P4/mmm (No. 123)
Symmetry-distinct sites (fractional):
Sc (0.000, 0.000, 0.000) [1 per cell]
Te (0.500, 0.500, 0.500) [1 per cell]
P (0.500, 0.500, 0.000) [1 per cell]
O (0.000, 0.500, 0.500) [2 per cell]

=====

No. 24
Density functional theory data (PBE-GGA) for a relaxed structure of SrCaNi2P2.

Output
Crystal system: trigonal
Energy of formation: -0.898 eV per atom
DOS(E_F): 4.543 states/eV per cell

Lattice parameters (Å, degrees): 3.8921 3.8921 8.7128 90.00 90.00 120.00
Space group P-3m1 (No. 164)
Symmetry-distinct sites (fractional):
Sr (0.0000, 0.0000, 0.0000) [1 per cell]
Ca (0.0000, 0.0000, 0.5000) [1 per cell]
Ni (0.3333, 0.6667, 0.7393) [2 per cell]
P (0.3333, 0.6667, 0.2610) [2 per cell]

=====

Final energy in eV per atom, matching the order above: -1.64 -7.02 -3.17 -3.85 -3.22 -5.27 -5.16 -3.73 -7.19 -1.63 -7.14 -3.34 -6.38 -4.08 -6.18 -2.82 -8.58 -4.53 -5.45 -7.49 -2.17 -6.56 -5.65 -5.24
Ρ in g/cm³, matching the order above: 11.3 4.3 2.9 4.1 7.0 9.7 8.2 3.5 7.2 2.0 6.6 2.4 3.8 6.6 5.0 7.7 6.8 4.9 4.4 14.8 5.6 8.2 4.5 4.5